# Mn5CoPt2 PBE relaxed
# V in Å³ per atom: 13.69
# E in eV per atom: -8.20
data_Mn5CoPt2
_symmetry_space_group_name_H-M 'C m c m'
_symmetry_Int_Tables_number 63
_symmetry_space_group_name_Hall '-C 2c 2'
_cell_length_a 3.861
_cell_length_b 8.121
_cell_length_c 13.971
_cell_angle_alpha 90.00
_cell_angle_beta 90.00
_cell_angle_gamma 90.00
loop_
_atom_site_label
_atom_site_fract_x
_atom_site_fract_y
_atom_site_fract_z
Mn1 0.000 0.046 0.086
Mn2 0.000 0.351 0.037
Mn3 0.000 0.420 0.250
Co1 0.000 0.110 0.250
Pt1 0.000 0.260 0.651